Crystalline Mn3B7BrO13 at its relaxed geometry, computed with PBE with a Hubbard U.

Total moment, Bohr magnetons per cell: 120.00
Offset from the most stable computed form, kJ/mol of formula units: 20
DOS at the Fermi energy, states/eV per atom: 0.000

a = 12.399 Å, b = 12.399 Å, c = 12.399 Å
α = 90.00°, β = 90.00°, γ = 90.00°
Space group F-43c (No. 219)
Asymmetric unit:
1 Mn 0.000 0.000 0.250 (multiplicity 24)
2 B 0.000 0.250 0.250 (multiplicity 24)
3 B 0.170 0.170 0.330 (multiplicity 32)
4 Br 0.000 0.000 0.000 (multiplicity 8)
5 O 0.070 0.156 0.273 (multiplicity 96)
6 O 0.250 0.250 0.250 (multiplicity 8)